(1)
A plane-wave DFT calculation with PBE was carried out for crystalline Pa3Co5Ge at its relaxed geometry.

Lattice parameters (Å, degrees): 7.7964 7.7964 5.5226 90.00 90.00 120.00
Positions (direct):
Pa (0.0000, 0.3561, 0.2500)
Pa (0.0000, 0.6439, 0.7500)
Pa (0.3561, 0.0000, 0.2500)
Pa (0.3561, 0.3561, 0.7500)
Pa (0.6439, 0.0000, 0.7500)
Pa (0.6439, 0.6439, 0.2500)
Co (0.0000, 0.3010, 0.7500)
Co (0.0000, 0.6990, 0.2500)
Co (0.3010, 0.0000, 0.7500)
Co (0.3010, 0.3010, 0.2500)
Co (0.3333, 0.6667, 0.0000)
Co (0.3333, 0.6667, 0.5000)
Co (0.6667, 0.3333, 0.0000)
Co (0.6667, 0.3333, 0.5000)
Co (0.6990, 0.0000, 0.2500)
Co (0.6990, 0.6990, 0.7500)
Ge (0.0000, 0.0000, 0.0000)
Ge (0.0000, 0.0000, 0.5000)

Summary:
* ΔH_f (0 K): -0.315 eV per atom
* mass density: 12.1 g cm⁻³
* space-group type: No. 193
* energy: -7.9406 eV/atom

(2)
A plane-wave DFT calculation with PBE was carried out for crystalline Pa3Co3Ge2 at its relaxed geometry.

Lattice parameters (Å, degrees): 7.6041 13.8806 5.4662 90.00 90.00 90.00
Positions (direct):
Pa (0.0395, 0.1053, 0.1544)
Pa (0.0395, 0.3947, 0.1544)
Pa (0.1604, 0.2500, 0.6081)
Pa (0.3396, 0.7500, 0.1081)
Pa (0.4605, 0.6053, 0.6544)
Pa (0.4605, 0.8947, 0.6544)
Pa (0.5395, 0.1053, 0.3456)
Pa (0.5395, 0.3947, 0.3456)
Pa (0.6604, 0.2500, 0.8919)
Pa (0.8396, 0.7500, 0.3919)
Pa (0.9605, 0.6053, 0.8456)
Pa (0.9605, 0.8947, 0.8456)
Co (0.1577, 0.0355, 0.5913)
Co (0.1577, 0.4645, 0.5913)
Co (0.2086, 0.7500, 0.6267)
Co (0.2914, 0.2500, 0.1267)
Co (0.3423, 0.5355, 0.0913)
Co (0.3423, 0.9645, 0.0913)
Co (0.6577, 0.0355, 0.9087)
Co (0.6577, 0.4645, 0.9087)
Co (0.7086, 0.7500, 0.8733)
Co (0.7914, 0.2500, 0.3733)
Co (0.8423, 0.5355, 0.4087)
Co (0.8423, 0.9645, 0.4087)
Ge (0.1267, 0.6062, 0.3438)
Ge (0.1267, 0.8938, 0.3438)
Ge (0.3733, 0.1062, 0.8438)
Ge (0.3733, 0.3938, 0.8438)
Ge (0.6267, 0.6062, 0.1562)
Ge (0.6267, 0.8938, 0.1562)
Ge (0.8733, 0.1062, 0.6562)
Ge (0.8733, 0.3938, 0.6562)

Summary:
* ΔH_f (0 K): -0.448 eV per atom
* mass density: 11.7 g cm⁻³
* space-group type: No. 62
* energy: -7.8281 eV/atom

(3)
A plane-wave DFT calculation with PBE was carried out for crystalline Pa3Co2Ge3 at its relaxed geometry.

Lattice parameters (Å, degrees): 7.5620 14.1828 5.5947 90.00 90.00 90.00
Positions (direct):
Pa (0.0361, 0.1090, 0.1107)
Pa (0.0361, 0.3910, 0.1107)
Pa (0.1776, 0.2500, 0.6317)
Pa (0.3224, 0.7500, 0.1317)
Pa (0.4639, 0.6090, 0.6107)
Pa (0.4639, 0.8910, 0.6107)
Pa (0.5361, 0.1090, 0.3893)
Pa (0.5361, 0.3910, 0.3893)
Pa (0.6776, 0.2500, 0.8683)
Pa (0.8224, 0.7500, 0.3683)
Pa (0.9639, 0.6090, 0.8893)
Pa (0.9639, 0.8910, 0.8893)
Co (0.1085, 0.6115, 0.3779)
Co (0.1085, 0.8885, 0.3779)
Co (0.3915, 0.1115, 0.8779)
Co (0.3915, 0.3885, 0.8779)
Co (0.6085, 0.6115, 0.1221)
Co (0.6085, 0.8885, 0.1221)
Co (0.8915, 0.1115, 0.6221)
Co (0.8915, 0.3885, 0.6221)
Ge (0.1748, 0.7500, 0.6259)
Ge (0.1805, 0.0393, 0.6032)
Ge (0.1805, 0.4607, 0.6032)
Ge (0.3195, 0.5393, 0.1032)
Ge (0.3195, 0.9607, 0.1032)
Ge (0.3252, 0.2500, 0.1259)
Ge (0.6748, 0.7500, 0.8741)
Ge (0.6805, 0.0393, 0.8968)
Ge (0.6805, 0.4607, 0.8968)
Ge (0.8195, 0.5393, 0.3968)
Ge (0.8195, 0.9607, 0.3968)
Ge (0.8252, 0.2500, 0.3741)

Summary:
* ΔH_f (0 K): -0.542 eV per atom
* mass density: 11.4 g cm⁻³
* space-group type: No. 62
* energy: -7.6110 eV/atom

(4)
A plane-wave DFT calculation with PBE was carried out for crystalline Pa2Co4Ge3Pd at its relaxed geometry.

Lattice parameters (Å, degrees): 3.7956 3.7956 10.9634 90.00 90.00 90.00
Positions (direct):
Pa (0.0000, 0.5000, 0.2422)
Pa (0.5000, 0.0000, 0.7578)
Co (0.0000, 0.0000, 0.5000)
Co (0.0000, 0.5000, 0.8330)
Co (0.5000, 0.0000, 0.1670)
Co (0.5000, 0.5000, 0.5000)
Ge (0.0000, 0.0000, 0.0000)
Ge (0.0000, 0.5000, 0.6203)
Ge (0.5000, 0.0000, 0.3797)
Pd (0.5000, 0.5000, 0.0000)

Summary:
* ΔH_f (0 K): -0.504 eV per atom
* mass density: 10.7 g cm⁻³
* space-group type: No. 115
* energy: -7.1496 eV/atom

(5)
A plane-wave DFT calculation with PBE was carried out for crystalline PmPaCo2Ge2 at its relaxed geometry.

Lattice parameters (Å, degrees): 4.1479 4.1479 7.5969 90.00 90.00 120.00
Positions (direct):
Pm (0.0000, 0.0000, 0.0000)
Pa (0.0000, 0.0000, 0.5000)
Co (0.3333, 0.6667, 0.2858)
Co (0.6667, 0.3333, 0.7142)
Ge (0.3333, 0.6667, 0.7461)
Ge (0.6667, 0.3333, 0.2539)

Summary:
* ΔH_f (0 K): -0.583 eV per atom
* mass density: 9.4 g cm⁻³
* space-group type: No. 164
* energy: -6.8656 eV/atom

(6)
A plane-wave DFT calculation with PBE was carried out for crystalline Pa2Co4Ge3Pt at its relaxed geometry.

Lattice parameters (Å, degrees): 3.8090 3.8090 10.9191 90.00 90.00 90.00
Positions (direct):
Pa (0.0000, 0.5000, 0.2411)
Pa (0.5000, 0.0000, 0.7589)
Co (0.0000, 0.0000, 0.5000)
Co (0.0000, 0.5000, 0.8331)
Co (0.5000, 0.0000, 0.1669)
Co (0.5000, 0.5000, 0.5000)
Ge (0.0000, 0.0000, 0.0000)
Ge (0.0000, 0.5000, 0.6205)
Ge (0.5000, 0.0000, 0.3795)
Pt (0.5000, 0.5000, 0.0000)

Summary:
* ΔH_f (0 K): -0.538 eV per atom
* mass density: 11.6 g cm⁻³
* space-group type: No. 115
* energy: -7.2690 eV/atom

(7)
A plane-wave DFT calculation with PBE was carried out for crystalline Pa2CoGe4Pt3 at its relaxed geometry.

Lattice parameters (Å, degrees): 4.1315 4.1315 10.6359 90.00 90.00 90.00
Positions (direct):
Pa (0.0000, 0.5000, 0.2334)
Pa (0.5000, 0.0000, 0.7666)
Co (0.5000, 0.5000, 0.0000)
Ge (0.0000, 0.0000, 0.5000)
Ge (0.0000, 0.5000, 0.8735)
Ge (0.5000, 0.0000, 0.1265)
Ge (0.5000, 0.5000, 0.5000)
Pt (0.0000, 0.0000, 0.0000)
Pt (0.0000, 0.5000, 0.6455)
Pt (0.5000, 0.0000, 0.3545)

Summary:
* ΔH_f (0 K): -0.675 eV per atom
* mass density: 12.8 g cm⁻³
* space-group type: No. 115
* energy: -6.9441 eV/atom

(8)
A plane-wave DFT calculation with PBE was carried out for crystalline Pa2Co4ReGe3 at its relaxed geometry.

Lattice parameters (Å, degrees): 4.0583 4.0583 9.6083 90.00 90.00 90.00
Positions (direct):
Pa (0.0000, 0.5000, 0.2340)
Pa (0.5000, 0.0000, 0.7660)
Co (0.0000, 0.0000, 0.0000)
Co (0.0000, 0.5000, 0.6277)
Co (0.5000, 0.0000, 0.3723)
Co (0.5000, 0.5000, 0.0000)
Re (0.0000, 0.0000, 0.5000)
Ge (0.0000, 0.5000, 0.8713)
Ge (0.5000, 0.0000, 0.1287)
Ge (0.5000, 0.5000, 0.5000)

Summary:
* ΔH_f (0 K): -0.447 eV per atom
* mass density: 11.6 g cm⁻³
* space-group type: No. 115
* energy: -7.8184 eV/atom

(9)
A plane-wave DFT calculation with PBE was carried out for crystalline PaCoReGe at its relaxed geometry.

Lattice parameters (Å, degrees): 4.5783 4.5783 4.5783 60.00 60.00 60.00
Positions (direct):
Pa (0.0000, 0.0000, 0.0000)
Co (0.2500, 0.2500, 0.2500)
Re (0.7500, 0.7500, 0.7500)
Ge (0.5000, 0.5000, 0.5000)

Summary:
* ΔH_f (0 K): 0.018 eV per atom
* mass density: 13.4 g cm⁻³
* space-group type: No. 216
* energy: -8.3988 eV/atom

(10)
A plane-wave DFT calculation with PBE was carried out for crystalline PaCoGe2Rh2 at its relaxed geometry.

Lattice parameters (Å, degrees): 4.4338 4.4338 5.2817 90.00 90.00 90.00
Positions (direct):
Pa (0.0000, 0.0000, 0.0000)
Co (0.0000, 0.0000, 0.5000)
Ge (0.0000, 0.5000, 0.5000)
Ge (0.5000, 0.0000, 0.5000)
Rh (0.5000, 0.5000, 0.2396)
Rh (0.5000, 0.5000, 0.7604)

Summary:
* ΔH_f (0 K): -0.262 eV per atom
* mass density: 10.3 g cm⁻³
* space-group type: No. 123
* energy: -7.0182 eV/atom

(11)
A plane-wave DFT calculation with PBE was carried out for crystalline Pa2CoGe4Rh3 at its relaxed geometry.

Lattice parameters (Å, degrees): 4.1259 4.1259 10.1872 90.00 90.00 90.00
Positions (direct):
Pa (0.0000, 0.5000, 0.2430)
Pa (0.5000, 0.0000, 0.7570)
Co (0.5000, 0.5000, 0.0000)
Ge (0.0000, 0.0000, 0.5000)
Ge (0.0000, 0.5000, 0.8714)
Ge (0.5000, 0.0000, 0.1286)
Ge (0.5000, 0.5000, 0.5000)
Rh (0.0000, 0.0000, 0.0000)
Rh (0.0000, 0.5000, 0.6350)
Rh (0.5000, 0.0000, 0.3650)

Summary:
* ΔH_f (0 K): -0.666 eV per atom
* mass density: 10.7 g cm⁻³
* space-group type: No. 115
* energy: -7.3279 eV/atom

(12)
A plane-wave DFT calculation with PBE was carried out for crystalline PaCoGeRh at its relaxed geometry.

Lattice parameters (Å, degrees): 4.7078 4.7078 4.3037 90.08 90.08 47.11
Positions (direct):
Pa (0.0000, 0.0000, 0.0000)
Co (0.7388, 0.7388, 0.9956)
Ge (0.6373, 0.6373, 0.4998)
Rh (0.3448, 0.3448, 0.4300)

Summary:
* ΔH_f (0 K): -0.506 eV per atom
* mass density: 11.1 g cm⁻³
* space-group type: No. 8
* energy: -7.6484 eV/atom

(13)
A plane-wave DFT calculation with PBE was carried out for crystalline PaCo2Ge2Rh at its relaxed geometry.

Lattice parameters (Å, degrees): 4.0976 4.0976 6.3410 90.00 90.00 120.00
Positions (direct):
Pa (0.0000, 0.0000, 0.0000)
Co (0.3333, 0.6667, 0.7236)
Co (0.6667, 0.3333, 0.2764)
Ge (0.3333, 0.6667, 0.3137)
Ge (0.6667, 0.3333, 0.6863)
Rh (0.0000, 0.0000, 0.5000)

Summary:
* ΔH_f (0 K): -0.518 eV per atom
* mass density: 10.8 g cm⁻³
* space-group type: No. 164
* energy: -7.2337 eV/atom

(14)
A plane-wave DFT calculation with PBE was carried out for crystalline PaCoGe2Ru at its relaxed geometry.

Lattice parameters (Å, degrees): 5.8022 5.8022 5.8022 138.72 138.72 59.81
Positions (direct):
Pa (0.0000, 0.0000, 0.0000)
Co (0.7500, 0.2500, 0.5000)
Ge (0.3757, 0.3757, 0.0000)
Ge (0.6243, 0.6243, 0.0000)
Ru (0.2500, 0.7500, 0.5000)

Summary:
* ΔH_f (0 K): -0.498 eV per atom
* mass density: 10.6 g cm⁻³
* space-group type: No. 119
* energy: -7.5208 eV/atom

(15)
A plane-wave DFT calculation with PBE was carried out for crystalline Pa2Co4Ge3Sb at its relaxed geometry.

Lattice parameters (Å, degrees): 4.1546 4.1546 9.5637 90.00 90.00 90.00
Positions (direct):
Pa (0.0000, 0.5000, 0.2286)
Pa (0.5000, 0.0000, 0.7714)
Co (0.0000, 0.0000, 0.0000)
Co (0.0000, 0.5000, 0.6334)
Co (0.5000, 0.0000, 0.3666)
Co (0.5000, 0.5000, 0.0000)
Ge (0.0000, 0.5000, 0.8728)
Ge (0.5000, 0.0000, 0.1272)
Ge (0.5000, 0.5000, 0.5000)
Sb (0.0000, 0.0000, 0.5000)

Summary:
* mass density: 10.4 g cm⁻³
* space-group type: No. 115
* energy: -7.0205 eV/atom

(16)
A plane-wave DFT calculation with PBE was carried out for crystalline ScPa2Co4Ge3 at its relaxed geometry.

Lattice parameters (Å, degrees): 3.8959 3.8959 10.7267 90.00 90.00 90.00
Positions (direct):
Sc (0.0000, 0.0000, 0.0000)
Pa (0.0000, 0.5000, 0.7361)
Pa (0.5000, 0.0000, 0.2639)
Co (0.0000, 0.0000, 0.5000)
Co (0.0000, 0.5000, 0.1587)
Co (0.5000, 0.0000, 0.8413)
Co (0.5000, 0.5000, 0.5000)
Ge (0.0000, 0.5000, 0.3779)
Ge (0.5000, 0.0000, 0.6221)
Ge (0.5000, 0.5000, 0.0000)

Summary:
* ΔH_f (0 K): -0.518 eV per atom
* mass density: 9.8 g cm⁻³
* space-group type: No. 115
* energy: -7.2776 eV/atom

(17)
A plane-wave DFT calculation with PBE was carried out for crystalline PaCo3SiGe at its relaxed geometry.

Lattice parameters (Å, degrees): 6.2895 6.2895 5.4355 90.00 90.00 121.79
Positions (direct):
Pa (0.1943, 0.8057, 0.7500)
Pa (0.8057, 0.1943, 0.2500)
Co (0.2046, 0.2046, 0.0000)
Co (0.2046, 0.2046, 0.5000)
Co (0.3303, 0.6697, 0.2500)
Co (0.6697, 0.3303, 0.7500)
Co (0.7954, 0.7954, 0.0000)
Co (0.7954, 0.7954, 0.5000)
Si (0.1262, 0.8738, 0.2500)
Si (0.8738, 0.1262, 0.7500)
Ge (0.4519, 0.5481, 0.7500)
Ge (0.5481, 0.4519, 0.2500)

Summary:
* mass density: 9.2 g cm⁻³
* space-group type: No. 63
* energy: -7.0851 eV/atom

(18)
A plane-wave DFT calculation with PBE was carried out for crystalline Pa3Co9SiGe2 at its relaxed geometry.

Lattice parameters (Å, degrees): 6.2061 6.2061 7.2776 90.00 90.00 120.00
Positions (direct):
Pa (0.0000, 0.0000, 0.0000)
Pa (0.3333, 0.6667, 0.7260)
Pa (0.6667, 0.3333, 0.2740)
Co (0.0000, 0.5000, 0.0000)
Co (0.1316, 0.2633, 0.2642)
Co (0.1316, 0.8684, 0.2642)
Co (0.2633, 0.1316, 0.7358)
Co (0.5000, 0.0000, 0.0000)
Co (0.5000, 0.5000, 0.0000)
Co (0.7367, 0.8684, 0.2642)
Co (0.8684, 0.1316, 0.7358)
Co (0.8684, 0.7367, 0.7358)
Si (0.0000, 0.0000, 0.5000)
Ge (0.3333, 0.6667, 0.2413)
Ge (0.6667, 0.3333, 0.7587)

Summary:
* mass density: 9.6 g cm⁻³
* space-group type: No. 164
* energy: -7.2156 eV/atom

(19)
A plane-wave DFT calculation with PBE was carried out for crystalline Pa3Co9Si2Ge at its relaxed geometry.

Lattice parameters (Å, degrees): 5.1395 5.1395 10.2570 90.00 90.00 120.00
Positions (direct):
Pa (0.0000, 0.0000, 0.0000)
Pa (0.3333, 0.6667, 0.7029)
Pa (0.6667, 0.3333, 0.2971)
Co (0.0000, 0.5000, 0.0000)
Co (0.1651, 0.3302, 0.3251)
Co (0.1651, 0.8349, 0.3251)
Co (0.3302, 0.1651, 0.6749)
Co (0.5000, 0.0000, 0.0000)
Co (0.5000, 0.5000, 0.0000)
Co (0.6698, 0.8349, 0.3251)
Co (0.8349, 0.1651, 0.6749)
Co (0.8349, 0.6698, 0.6749)
Si (0.3333, 0.6667, 0.1638)
Si (0.6667, 0.3333, 0.8362)
Ge (0.0000, 0.0000, 0.5000)

Summary:
* mass density: 9.6 g cm⁻³
* space-group type: No. 164
* energy: -7.4714 eV/atom

(20)
A plane-wave DFT calculation with PBE was carried out for crystalline Pa2Co4SiGe3 at its relaxed geometry.

Lattice parameters (Å, degrees): 4.0028 4.0028 9.6068 90.00 90.00 90.00
Positions (direct):
Pa (0.0000, 0.5000, 0.2498)
Pa (0.5000, 0.0000, 0.7502)
Co (0.0000, 0.0000, 0.0000)
Co (0.0000, 0.5000, 0.6253)
Co (0.5000, 0.0000, 0.3747)
Co (0.5000, 0.5000, 0.0000)
Si (0.0000, 0.0000, 0.5000)
Ge (0.0000, 0.5000, 0.8669)
Ge (0.5000, 0.0000, 0.1331)
Ge (0.5000, 0.5000, 0.5000)

Summary:
* mass density: 10.2 g cm⁻³
* space-group type: No. 115
* energy: -7.2734 eV/atom